{
  "formula": "SrSiHg2",
  "functional": "PBE-GGA",
  "state": "optimized geometry",
  "lattice": [[3.6695, 0.0000, 0.0000], [0.0000, 4.4389, 0.0000], [-1.8282, 0.0000, 6.4100]],
  "species": ["Sr", "Si", "Hg", "Hg"],
  "fractional_positions": [[0.0000, 0.0000, 0.0000], [0.3809, 0.5000, 0.7583], [0.2632, 0.0000, 0.5362], [0.6559, 0.5000, 0.3125]],
  "space_group": "Pm (6)",
  "dft_energy_ha_per_atom": -0.074,
  "total_magnetization_mub_per_cell": 0.000,
  "formation_energy_uncorrected_ev_per_atom": -0.099
}

{
  "formula": "LiPmPr2Hg4",
  "functional": "PBE-GGA",
  "state": "optimized geometry",
  "lattice": [[2.6433, 1.5261, 8.8489], [-2.6433, 1.5261, 8.8489], [0.0000, -3.0522, 8.8489]],
  "species": ["Li", "Pm", "Pr", "Pr", "Hg", "Hg", "Hg", "Hg"],
  "fractional_positions": [[0.0000, 0.0000, 0.0000], [0.5000, 0.5000, 0.5000], [0.2555, 0.2555, 0.2555], [0.7445, 0.7445, 0.7445], [0.1235, 0.1235, 0.1235], [0.3740, 0.3740, 0.3740], [0.6260, 0.6260, 0.6260], [0.8765, 0.8765, 0.8765]],
  "space_group": "R-3m (166)",
  "dft_energy_ha_per_atom": -0.096,
  "ef_mev_per_atom": -446,
  "total_magnetization_mub_per_cell": 0.000
}

{
  "formula": "Sc2PbO2",
  "functional": "PBE-GGA",
  "state": "optimized geometry",
  "lattice": [[3.6392, 0.0000, 0.0000], [0.0000, 3.6392, 0.0000], [0.0000, 0.0000, 13.5500]],
  "species": ["Sc", "Sc", "Sc", "Sc", "Pb", "Pb", "O", "O", "O", "O"],
  "fractional_positions": [[0.0000, 0.0000, 0.1761], [0.0000, 0.0000, 0.8239], [0.5000, 0.5000, 0.3239], [0.5000, 0.5000, 0.6761], [0.0000, 0.0000, 0.5000], [0.5000, 0.5000, 0.0000], [0.0000, 0.5000, 0.2500], [0.0000, 0.5000, 0.7500], [0.5000, 0.0000, 0.2500], [0.5000, 0.0000, 0.7500]],
  "space_group": "I4/mmm (139)",
  "dft_energy_ha_per_atom": -0.283,
  "total_magnetization_mub_per_cell": 0.000,
  "formation_energy_uncorrected_ev_per_atom": -2.438
}

{
  "formula": "LaSCl2O",
  "functional": "PBE-GGA",
  "state": "optimized geometry",
  "lattice": [[5.5086, 0.0000, 0.0000], [0.0000, 5.5086, 0.0000], [0.0000, 0.0000, 5.8441]],
  "species": ["La", "S", "Cl", "Cl", "O"],
  "fractional_positions": [[0.0000, 0.0000, 0.0000], [0.0000, 0.0000, 0.5000], [0.0000, 0.5000, 0.0000], [0.5000, 0.0000, 0.0000], [0.5000, 0.5000, 0.5000]],
  "space_group": "P4/mmm (123)",
  "dft_energy_ha_per_atom": -0.155,
  "total_magnetization_mub_per_cell": 3.000,
  "de_polymorph_mev_per_atom": 87,
  "formation_energy_uncorrected_ev_per_atom": -0.689
}

{
  "formula": "TiSn2PbC",
  "functional": "PBE-GGA",
  "state": "optimized geometry",
  "lattice": [[5.2940, 0.0000, 0.0000], [0.0000, 5.2940, 0.0000], [0.0000, 0.0000, 5.4120]],
  "species": ["Ti", "Sn", "Sn", "Pb", "C"],
  "fractional_positions": [[0.0000, 0.0000, 0.0000], [0.0000, 0.5000, 0.0000], [0.5000, 0.0000, 0.0000], [0.0000, 0.0000, 0.5000], [0.5000, 0.5000, 0.5000]],
  "space_group": "P4/mmm (123)",
  "dft_energy_ha_per_atom": -0.155,
  "ef_mev_per_atom": 1537,
  "total_magnetization_mub_per_cell": 1.608
}

{
  "formula": "Co2W",
  "functional": "PBE-GGA",
  "state": "optimized geometry",
  "lattice": [[2.6691, 0.0000, 0.0000], [-1.3346, 2.3115, 0.0000], [0.0000, 0.0000, 6.2852]],
  "species": ["Co", "Co", "W"],
  "fractional_positions": [[0.3333, 0.6667, 0.1536], [0.6667, 0.3333, 0.8464], [0.0000, 0.0000, 0.5000]],
  "space_group": "P-3m1 (164)",
  "dft_energy_ha_per_atom": -0.322,
  "ef_mev_per_atom": 288,
  "total_magnetization_mub_per_cell": 2.272
}

{
  "formula": "AlCd3Ag4",
  "functional": "PBE-GGA",
  "state": "optimized geometry",
  "lattice": [[3.0891, 0.0000, 0.0000], [0.0000, 3.0891, 0.0000], [0.0000, 0.0000, 15.6571]],
  "species": ["Al", "Cd", "Cd", "Cd", "Ag", "Ag", "Ag", "Ag"],
  "fractional_positions": [[0.0000, 0.0000, 0.0000], [0.0000, 0.0000, 0.2410], [0.0000, 0.0000, 0.5000], [0.0000, 0.0000, 0.7590], [0.5000, 0.5000, 0.1084], [0.5000, 0.5000, 0.3699], [0.5000, 0.5000, 0.6301], [0.5000, 0.5000, 0.8916]],
  "space_group": "P4/mmm (123)",
  "dft_energy_ha_per_atom": -0.084,
  "ef_mev_per_atom": -45,
  "total_magnetization_mub_per_cell": 0.000,
  "de_polymorph_mev_per_atom": 0
}

{
  "formula": "AlZn2In",
  "functional": "PBE-GGA",
  "state": "optimized geometry",
  "lattice": [[4.1575, 0.0000, 0.0000], [0.0000, 4.1575, 0.0000], [0.0000, 0.0000, 8.5444]],
  "species": ["Al", "Al", "Zn", "Zn", "Zn", "Zn", "In", "In"],
  "fractional_positions": [[0.0000, 0.0000, 0.0000], [0.5000, 0.5000, 0.5000], [0.0000, 0.0000, 0.5000], [0.0000, 0.5000, 0.2500], [0.5000, 0.0000, 0.7500], [0.5000, 0.5000, 0.0000], [0.0000, 0.5000, 0.7500], [0.5000, 0.0000, 0.2500]],
  "space_group": "I-4m2 (119)",
  "dft_energy_ha_per_atom": -0.078,
  "ef_mev_per_atom": 128,
  "total_magnetization_mub_per_cell": 0.000,
  "de_polymorph_mev_per_atom": 42
}